Record 1
# Ba2ZnSn4Pd3

An optimized crystal structure of Ba2ZnSn4Pd3 (GGA-PBE, the Alexandria database).

Lattice parameters (Å, degrees): 4.7617 4.7617 11.1060 90.00 90.00 90.00
Closest atoms and distances in Å follow each position.
Sites, in units of the cell vectors:
Sn1 0.5000 0.0000 0.6277  3 Pd 2.74-2.77, 2 Zn 2.77
Sn2 0.5000 0.5000 0.0000  4 Pd 2.76
Ba1 0.0000 0.5000 0.7455  8 Sn 3.61-3.70, 2 Zn 3.62, 6 Pd 3.62-3.66
Ba2 0.5000 0.0000 0.2545  8 Sn 3.61-3.70, 6 Pd 3.62-3.66, 2 Zn 3.62
Pd1 0.0000 0.0000 0.5000  4 Sn 2.77
Sn3 0.0000 0.5000 0.3723  3 Pd 2.74-2.77, 2 Zn 2.77
Zn1 0.5000 0.5000 0.5000  4 Sn 2.77
Sn4 0.0000 0.0000 0.0000  4 Pd 2.76
Pd2 0.5000 0.0000 0.8746  5 Sn 2.74-2.76
Pd3 0.0000 0.5000 0.1254  5 Sn 2.74-2.76

Calculated values
M_tot	0.00	μB/cell
density of states at the Fermi level	4.75	states/eV/cell
DFT formation energy	-6.402	eV/f.u.

***

Record 2
# MgMn2Cl

An optimized crystal structure of MgMn2Cl (GGA-PBE, the Alexandria database).

Lattice parameters (Å, degrees): 4.7525 4.7525 4.7525 60.00 60.00 60.00
Closest atoms and distances in Å follow each position.
Sites, in units of the cell vectors:
Mn1 0.0000 0.0000 0.0000  4 Mn 2.91, 4 Mg 2.91
Mn2 0.2500 0.2500 0.2500  4 Mn 2.91, 4 Cl 2.91
Mg1 0.7500 0.7500 0.7500  4 Mn 2.91, 4 Cl 2.91
Cl1 0.5000 0.5000 0.5000  4 Mn 2.91, 4 Mg 2.91

Calculated values
M_tot	7.79	μB/cell
distance to the lowest polymorph of the same formula	0.736	eV/atom
E_form (uncorrected)	0.61	eV/atom
density of states at the Fermi level	4.63	states/eV/cell

***

Record 3
# Pr8Ge5P

An optimized crystal structure of Pr8Ge5P (GGA-PBE, the Alexandria database).

Lattice parameters (Å, degrees): 7.9653 7.9653 7.9653 109.49 109.42 109.49
Closest atoms and distances in Å follow each position.
Sites, in units of the cell vectors:
Ge1 0.9995 0.3739 0.1241  7 Pr 3.02-3.37
Pr1 0.6183 0.8758 0.8736  1 P 2.96, 2 Ge 3.02
Pr2 0.6248 0.3823 0.8754  5 Ge 3.02-3.37, 1 P 3.36
Ge2 0.7502 0.6261 0.6256  7 Pr 3.02-3.37
Pr3 0.9978 0.1242 0.7425  1 P 2.96, 2 Ge 3.02
Ge3 0.5000 0.0000 0.5000  8 Pr 3.02-3.38
Pr4 0.2575 0.2553 0.3817  1 P 2.96, 2 Ge 3.02
Pr5 0.4931 0.6177 0.2425  5 Ge 3.02-3.37, 1 P 3.36
Ge4 0.8759 0.8754 0.2498  7 Pr 3.02-3.37
Ge5 0.3744 0.1246 0.0005  7 Pr 3.02-3.37
Pr6 0.7575 0.2506 0.3752  5 Ge 3.02-3.37, 1 P 3.36
P1 0.2500 0.5000 0.7500  4 Pr 2.96
Pr7 0.1264 0.7447 0.0022  1 P 2.96, 2 Ge 3.02
Pr8 0.1246 0.7494 0.5069  5 Ge 3.02-3.37, 1 P 3.36

Calculated values
M_tot	0.00	μB/cell
density of states at the Fermi level	7.15	states/eV/cell
DFT formation energy	-12.280	eV/f.u.

***

Record 4
# Ti3PdPt

An optimized crystal structure of Ti3PdPt (GGA-PBE, the Alexandria database).

Lattice parameters (Å, degrees): 7.2987 7.0582 7.0582 74.26 90.00 90.00
Closest atoms and distances in Å follow each position.
Sites, in units of the cell vectors:
Pd1 0.7500 0.3442 0.6558  1 Pd 2.67, 4 Ti 2.68
Ti1 0.4450 0.2974 0.9682  2 Pt 2.54-2.69, 1 Pd 2.65, 1 Ti 2.85
Ti2 0.0550 0.0318 0.7026  2 Pt 2.54-2.69, 1 Pd 2.65, 1 Ti 2.85
Pt1 0.2508 0.6331 0.8879  6 Ti 2.54-2.69, 1 Pd 2.82
Pt2 0.7492 0.3669 0.1121  6 Ti 2.54-2.69, 1 Pd 2.82
Ti3 0.0007 0.6282 0.6291  2 Pt 2.59, 2 Pd 2.68, 3 Ti 2.89-2.90
Ti4 0.9452 0.7025 0.0296  2 Pt 2.55-2.69, 1 Pd 2.65, 1 Ti 2.85
Pt3 0.7508 0.8879 0.6331  6 Ti 2.54-2.69, 1 Pd 2.82
Ti5 0.4452 0.0296 0.7025  2 Pt 2.55-2.69, 1 Pd 2.65, 1 Ti 2.85
Pd2 0.7500 0.0305 0.9695  8 Ti 2.65-2.92, 1 Pd 2.67, 2 Pt 2.82
Ti6 0.9993 0.3718 0.3709  2 Pt 2.59, 2 Pd 2.68, 3 Ti 2.89-2.90
Ti7 0.9450 0.9682 0.2974  2 Pt 2.54-2.69, 1 Pd 2.65, 1 Ti 2.85
Pt4 0.2492 0.1121 0.3669  6 Ti 2.54-2.69, 1 Pd 2.82
Ti8 0.0548 0.2975 0.9704  2 Pt 2.55-2.69, 1 Pd 2.65, 1 Ti 2.85
Ti9 0.5550 0.7026 0.0318  2 Pt 2.54-2.69, 1 Pd 2.65, 1 Ti 2.85
Pd3 0.2500 0.6558 0.3442  1 Pd 2.67, 4 Ti 2.68
Ti10 0.5548 0.9704 0.2975  2 Pt 2.55-2.69, 1 Pd 2.65, 1 Ti 2.85
Ti11 0.5007 0.6291 0.6282  2 Pt 2.59, 2 Pd 2.68, 3 Ti 2.89-2.90
Pd4 0.2500 0.9695 0.0305  8 Ti 2.65-2.92, 1 Pd 2.67, 2 Pt 2.82
Ti12 0.4993 0.3709 0.3718  2 Pt 2.59, 2 Pd 2.68, 3 Ti 2.89-2.90

Calculated values
M_tot	0.00	μB/cell
distance to the lowest polymorph of the same formula	0.204	eV/atom
density of states at the Fermi level	25.68	states/eV/cell
DFT formation energy	-1.781	eV/f.u.

***

Record 5
# Li2NdBiTe4

An optimized crystal structure of Li2NdBiTe4 (GGA-PBE, the Alexandria database).

Lattice parameters (Å, degrees): 4.4488 7.5320 7.6977 70.13 90.00 90.00
Closest atoms and distances in Å follow each position.
Sites, in units of the cell vectors:
Li1 0.5000 0.0000 0.5000  6 Te 3.08
Te1 0.0000 0.7641 0.7490  3 Li 3.04-3.08, 2 Bi 3.17, 1 Nd 3.20
Nd1 0.0000 0.5000 0.5000  6 Te 3.18-3.20
Te2 0.0000 0.2359 0.2510  3 Li 3.04-3.08, 2 Bi 3.17, 1 Nd 3.20
Te3 0.5000 0.7628 0.2435  3 Li 3.06-3.08, 1 Bi 3.15, 2 Nd 3.18
Li2 0.0000 0.0000 0.0000  6 Te 3.04-3.06
Bi1 0.5000 0.5000 0.0000  6 Te 3.15-3.17
Te4 0.5000 0.2372 0.7565  3 Li 3.06-3.08, 1 Bi 3.15, 2 Nd 3.18

Calculated values
M_tot	0.00	μB/cell
E_form (uncorrected)	-0.90	eV/atom

***

Record 6
# SrCaTa3

An optimized crystal structure of SrCaTa3 (GGA-PBE, the Alexandria database).

Lattice parameters (Å, degrees): 5.0473 5.0473 5.0473 90.00 90.00 90.00
Closest atoms and distances in Å follow each position.
Sites, in units of the cell vectors:
Sr1 0.0000 0.0000 0.0000  6 Ta 2.52
Ta1 0.0000 0.5000 0.0000  2 Sr 2.52
Ta2 0.0000 0.0000 0.5000  2 Sr 2.52
Ca1 0.5000 0.5000 0.5000  12 Ta 3.57
Ta3 0.5000 0.0000 0.0000  2 Sr 2.52

Calculated values
M_tot	0.00	μB/cell
density of states at the Fermi level	6.01	states/eV/cell
DFT formation energy	12.636	eV/f.u.

***

Record 7
# NiHgBr

An optimized crystal structure of NiHgBr (GGA-PBE, the Alexandria database).

Lattice parameters (Å, degrees): 3.6688 3.6688 5.9881 90.00 90.00 120.00
Closest atoms and distances in Å follow each position.
Sites, in units of the cell vectors:
Br1 0.0000 0.0000 0.9001  3 Ni 2.45
Hg1 0.6667 0.3333 0.4049  3 Ni 2.74
Ni1 0.3333 0.6667 0.6950  3 Br 2.45, 3 Hg 2.74

Calculated values
M_tot	0.99	μB/cell
distance to the lowest polymorph of the same formula	0.114	eV/atom
E_form (uncorrected)	0.07	eV/atom
density of states at the Fermi level	3.27	states/eV/cell

***

Record 8
# ZnSn2Pd6

An optimized crystal structure of ZnSn2Pd6 (GGA-PBE, the Alexandria database).

Lattice parameters (Å, degrees): 4.1815 6.4724 7.3154 116.26 106.54 90.00
Closest atoms and distances in Å follow each position.
Sites, in units of the cell vectors:
Sn1 0.6592 0.6595 0.3190  8 Pd 2.66-2.69
Zn1 0.0000 0.0000 0.0000  8 Pd 2.55-2.57
Sn2 0.3408 0.3405 0.6810  8 Pd 2.66-2.69
Pd1 0.1645 0.9251 0.3295  1 Zn 2.57, 3 Sn 2.68-2.69
Pd2 0.8355 0.5956 0.6705  1 Zn 2.57, 3 Sn 2.68-2.69
Pd3 0.1645 0.4044 0.3295  1 Zn 2.57, 3 Sn 2.68-2.69
Pd4 0.8355 0.0749 0.6705  1 Zn 2.57, 3 Sn 2.68-2.69
Pd5 0.5000 0.2269 0.0000  2 Zn 2.55, 2 Sn 2.66
Pd6 0.5000 0.7731 0.0000  2 Zn 2.55, 2 Sn 2.66

Calculated values
M_tot	0.00	μB/cell
density of states at the Fermi level	2.32	states/eV/cell
DFT formation energy	-3.209	eV/f.u.

***

Record 9
# Ce5Cd2Os2

An optimized crystal structure of Ce5Cd2Os2 (GGA-PBE, the Alexandria database).

Lattice parameters (Å, degrees): 7.7912 7.5734 8.9712 114.97 90.00 90.00
Closest atoms and distances in Å follow each position.
Sites, in units of the cell vectors:
Ce1 0.3291 0.9438 0.2274  3 Os 2.81-3.02
Cd1 0.5000 0.2801 0.5602  7 Ce 3.28-3.58
Ce2 0.1709 0.2164 0.7726  3 Os 2.81-3.02
Os1 0.6339 0.8637 0.0000  8 Ce 2.81-3.03, 1 Os 2.94
Ce3 0.8291 0.5562 0.7726  3 Os 2.81-3.02
Cd2 0.0000 0.2199 0.4398  7 Ce 3.28-3.58
Cd3 0.0000 0.7801 0.5602  7 Ce 3.28-3.58
Ce4 0.8291 0.7836 0.2274  3 Os 2.81-3.02
Cd4 0.5000 0.7199 0.4398  7 Ce 3.28-3.58
Ce5 0.3291 0.7164 0.7726  3 Os 2.81-3.02
Ce6 0.6709 0.0562 0.7726  3 Os 2.81-3.02
Ce7 0.0000 0.0000 0.0000  4 Os 2.95-3.03
Os2 0.1339 0.6363 0.0000  8 Ce 2.81-3.03, 1 Os 2.94
Os3 0.8661 0.3637 0.0000  8 Ce 2.81-3.03, 1 Os 2.94
Ce8 0.5000 0.5000 0.0000  4 Os 2.95-3.03
Ce9 0.6709 0.2836 0.2274  3 Os 2.81-3.02
Os4 0.3661 0.1363 0.0000  8 Ce 2.81-3.03, 1 Os 2.94
Ce10 0.1709 0.4438 0.2274  3 Os 2.81-3.02

Calculated values
M_tot	4.74	μB/cell
distance to the lowest polymorph of the same formula	0.000	eV/atom
density of states at the Fermi level	44.96	states/eV/cell
DFT formation energy	-1.440	eV/f.u.

***

Record 10
# NdGa2CoIr

An optimized crystal structure of NdGa2CoIr (GGA-PBE, the Alexandria database).

Lattice parameters (Å, degrees): 4.1997 4.1997 5.8928 110.88 110.88 90.00
Closest atoms and distances in Å follow each position.
Sites, in units of the cell vectors:
Ga1 0.3718 0.3718 0.7436  2 Co 2.44, 2 Ir 2.44, 1 Ga 2.61
Ir1 0.2500 0.7500 0.5000  4 Ga 2.44
Nd1 0.0000 0.0000 0.0000  8 Ga 3.24, 4 Co 3.30, 4 Ir 3.30
Ga2 0.6282 0.6282 0.2564  2 Co 2.44, 2 Ir 2.44, 1 Ga 2.61
Co1 0.7500 0.2500 0.5000  4 Ga 2.44

Calculated values
M_tot	0.00	μB/cell
density of states at the Fermi level	2.46	states/eV/cell
DFT formation energy	-2.708	eV/f.u.

***

Record 11
# PmSm8Ho2

An optimized crystal structure of PmSm8Ho2 (GGA-PBE, the Alexandria database).

Lattice parameters (Å, degrees): 11.4165 15.7283 15.7294 22.94 160.58 150.50
Closest atoms and distances in Å follow each position.
Sites, in units of the cell vectors:
Sm1 0.5476 0.9098 0.2734  8 Sm 3.59-3.62, 3 Ho 3.60-3.61, 1 Pm 3.62
Ho1 0.0898 0.8184 0.5443  11 Sm 3.60-3.61, 1 Pm 3.61
Sm2 0.8170 0.3640 0.9077  9 Sm 3.59-3.62, 3 Ho 3.60-3.61
Sm3 0.1830 0.6360 0.0923  9 Sm 3.59-3.62, 3 Ho 3.60-3.61
Sm4 0.6367 0.7271 0.8186  2 Pm 3.61, 7 Sm 3.61-3.62, 3 Ho 3.61
Sm5 0.2736 0.4534 0.6377  2 Ho 3.60-3.61, 8 Sm 3.60-3.62, 2 Pm 3.61-3.62
Pm1 0.0000 0.0000 0.0000  10 Sm 3.61-3.62, 2 Ho 3.61
Sm6 0.7264 0.5466 0.3623  2 Ho 3.60-3.61, 8 Sm 3.60-3.62, 2 Pm 3.61-3.62
Sm7 0.4524 0.0902 0.7266  8 Sm 3.59-3.62, 3 Ho 3.60-3.61, 1 Pm 3.62
Sm8 0.3633 0.2729 0.1814  2 Pm 3.61, 7 Sm 3.61-3.62, 3 Ho 3.61
Ho2 0.9102 0.1816 0.4557  11 Sm 3.60-3.61, 1 Pm 3.61

Calculated values
M_tot	0.00	μB/cell
distance to the lowest polymorph of the same formula	0.000	eV/atom
density of states at the Fermi level	16.19	states/eV/cell
DFT formation energy	0.165	eV/f.u.

***

Record 12
# CaPdO

An optimized crystal structure of CaPdO (GGA-PBE, the Alexandria database).

Lattice parameters (Å, degrees): 5.4978 4.3837 5.1395 64.76 90.00 90.00
Closest atoms and distances in Å follow each position.
Sites, in units of the cell vectors:
O1 0.3688 0.6110 0.4824  2 Pd 2.11-2.13, 3 Ca 2.32-2.35
Pd1 0.6401 0.7737 0.1566  2 O 2.11-2.13
Ca1 0.9956 0.4867 0.7306  3 O 2.32-2.35
O2 0.8688 0.9564 0.7909  2 Pd 2.11-2.13, 3 Ca 2.32-2.35
Pd2 0.1401 0.7938 0.1166  2 O 2.11-2.13
Ca2 0.4956 0.0808 0.5427  3 O 2.32-2.35

Calculated values
M_tot	0.00	μB/cell
E_form (uncorrected)	-1.47	eV/atom
density of states at the Fermi level	0.49	states/eV/cell